1.
Material: LiCd2In
Method: DFT, PBE
State: relaxed

The structure in POSCAR format:
```
LiCd2In
1.0
-3.550 1.498 -3.553
-0.892 0.543 -5.136
-2.325 -4.872 -0.965
Cd Li In
2 1 1
direct
0.006 0.006 0.990 Cd
0.250 0.250 0.244 Cd
0.748 0.748 0.753 Li
0.495 0.495 0.512 In
```

Values from the calculation:
SG = Cm (8)
Electronic total energy = -6.99 eV/cell

2.
Material: PmBeH4
Method: DFT, PBE
State: relaxed

The structure in POSCAR format:
```
PmBeH4
1.0
-2.862 -2.311 -0.257
0.647 -3.936 1.577
-2.059 -0.817 3.673
Pm Be H
1 1 4
direct
0.002 0.503 0.499 Pm
0.502 0.003 0.999 Be
0.665 0.080 0.592 H
0.338 0.926 0.406 H
0.338 0.410 0.922 H
0.665 0.596 0.076 H
```

Values from the calculation:
SG = C2/m (12)
Electronic total energy = -23.22 eV/cell

3.
Material: ScTl2Pb
Method: DFT, PBE
State: relaxed

The structure in POSCAR format:
```
ScTl2Pb
1.0
-8.140 -1.475 2.241
-1.107 -4.672 -7.099
-3.738 -5.622 -0.891
Pb Sc Tl
2 2 4
direct
0.000 0.000 0.000 Pb
0.750 0.250 0.500 Pb
0.500 0.500 0.000 Sc
0.250 0.750 0.500 Sc
0.613 0.125 0.250 Tl
0.137 0.625 0.250 Tl
0.375 0.387 0.750 Tl
0.875 0.863 0.750 Tl
```

Values from the calculation:
SG = I-42d (122)
Electronic total energy = -29.09 eV/cell

4.
Material: PmGa2Ni10
Method: DFT, PBE
State: relaxed

The structure in POSCAR format:
```
PmGa2Ni10
1.0
-3.688 3.015 1.018
-3.583 -2.082 4.840
1.541 4.383 4.252
Pm Ga Ni
1 2 10
direct
0.000 0.000 0.000 Pm
0.000 0.500 0.000 Ga
0.500 0.500 0.000 Ga
0.354 0.649 0.643 Ni
0.646 0.351 0.357 Ni
0.003 0.351 0.643 Ni
0.997 0.649 0.357 Ni
0.000 0.000 0.500 Ni
0.500 0.000 0.500 Ni
0.273 0.225 0.228 Ni
0.727 0.775 0.772 Ni
0.498 0.775 0.228 Ni
0.502 0.225 0.772 Ni
```

Values from the calculation:
SG = Fmmm (69)
Electronic total energy = -71.31 eV/cell

5.
Material: Tm2ZnHg
Method: DFT, PBE
State: relaxed

The structure in POSCAR format:
```
Tm2ZnHg
1.0
-0.734 1.561 -4.799
-4.683 -0.077 -2.019
-2.456 4.375 -0.911
Zn Tm Hg
1 2 1
direct
0.500 0.500 0.500 Zn
0.750 0.750 0.750 Tm
0.250 0.250 0.250 Tm
0.000 0.000 0.000 Hg
```

Values from the calculation:
Polymorph energy (0 for the lowest one) = 0.013 eV/atom
SG = Fm-3m (225)
Electronic total energy = -12.12 eV/cell

6.
Material: ReAgRh2
Method: DFT, PBE
State: relaxed

The structure in POSCAR format:
```
ReAgRh2
1.0
-1.916 1.916 4.080
1.916 -1.916 4.080
1.916 1.916 -4.080
Re Ag Rh
1 1 2
direct
0.750 0.250 0.500 Re
0.500 0.500 0.000 Ag
0.000 0.000 0.000 Rh
0.250 0.750 0.500 Rh
```

Values from the calculation:
Polymorph energy (0 for the lowest one) = 0.349 eV/atom
SG = I-4m2 (119)
Electronic total energy = -28.63 eV/cell

Summary of total magnetic moment in μB/f.u.
0.000; 0.000; 0.000; 1.213; 0.000; 0.000
(order as listed above)
Summary of Fermi-level density of states in states/eV per cell
0.9; 1.4; 6.9; 19.3; 3.2; 3.1
(order as listed above)